(1)
PuAgAuBr6 | PBE | optimized geometry

For the magnetization, the calculation gives 4.0 μB per formula unit. The formation energy from raw total energies comes out at -0.7380 eV/atom. Its total energy is -74.3 eV/cell. As for the density of states at the Fermi level: 21.899 states/eV per cell.

Cell: 6.9636 6.9636 13.0837 Å, 90.00 90.00 120.00°
Sites, in units of the cell vectors:
Pu: 0.3333 0.6667 0.2500
Pu: 0.6667 0.3333 0.7500
Ag: 0.3333 0.6667 0.7500
Ag: 0.6667 0.3333 0.2500
Au: 0.0000 0.0000 0.0000
Au: 0.0000 0.0000 0.5000
Br: 0.0087 0.3387 0.1238
Br: 0.0087 0.6699 0.3762
Br: 0.3301 0.3387 0.3762
Br: 0.3301 0.9913 0.1238
Br: 0.3387 0.0087 0.6238
Br: 0.3387 0.3301 0.8762
Br: 0.6613 0.6699 0.1238
Br: 0.6613 0.9913 0.3762
Br: 0.6699 0.0087 0.8762
Br: 0.6699 0.6613 0.6238
Br: 0.9913 0.3301 0.6238
Br: 0.9913 0.6613 0.8762

(2)
Rb4AgAu3Br12 | PBE | optimized geometry

For the magnetization, the calculation gives 0.0 μB per formula unit. The formation energy from raw total energies comes out at -0.8159 eV/atom. Its total energy is -52.9 eV/cell. As for the density of states at the Fermi level: 6.495 states/eV per cell.

Cell: 9.4255 9.4255 9.4255 Å, 109.47 109.47 109.47°
Sites, in units of the cell vectors:
Rb: 0.0000 0.0000 0.5000
Rb: 0.0000 0.5000 0.0000
Rb: 0.5000 0.0000 0.0000
Rb: 0.5000 0.5000 0.5000
Ag: 0.0000 0.0000 0.0000
Au: 0.0000 0.5000 0.5000
Au: 0.5000 0.0000 0.5000
Au: 0.5000 0.5000 0.0000
Br: 0.0000 0.2563 0.2563
Br: 0.0000 0.7437 0.7437
Br: 0.2500 0.5000 0.7500
Br: 0.2500 0.7500 0.5000
Br: 0.2563 0.0000 0.2563
Br: 0.2563 0.2563 0.0000
Br: 0.5000 0.2500 0.7500
Br: 0.5000 0.7500 0.2500
Br: 0.7437 0.0000 0.7437
Br: 0.7437 0.7437 0.0000
Br: 0.7500 0.2500 0.5000
Br: 0.7500 0.5000 0.2500

(3)
RbAgAuBr6 | PBE | optimized geometry

For the magnetization, the calculation gives 0.0 μB per formula unit. The formation energy from raw total energies comes out at -0.5192 eV/atom. Its total energy is -21.8 eV/cell. As for the density of states at the Fermi level: 4.858 states/eV per cell.

Cell: 6.6838 6.9284 8.5209 Å, 93.12 103.29 108.36°
Sites, in units of the cell vectors:
Rb: 0.0000 0.0000 0.0000
Ag: 0.6901 0.4434 0.3435
Au: 0.3446 0.5071 0.6352
Br: 0.0368 0.6799 0.2926
Br: 0.3401 0.2269 0.4270
Br: 0.3939 0.7774 0.8589
Br: 0.5931 0.1870 0.0860
Br: 0.6908 0.7230 0.5779
Br: 0.9906 0.2907 0.6702

(4)
Rb3Ag2AuBr9 | PBE | optimized geometry

For the magnetization, the calculation gives 0.0 μB per formula unit. The formation energy from raw total energies comes out at -0.8471 eV/atom. Its total energy is -39.6 eV/cell. As for the density of states at the Fermi level: 4.835 states/eV per cell.

Cell: 7.6908 7.6908 9.4292 Å, 90.00 90.00 120.00°
Sites, in units of the cell vectors:
Rb: 0.0000 0.0000 0.0000
Rb: 0.3333 0.6667 0.6766
Rb: 0.6667 0.3333 0.3234
Ag: 0.3333 0.6667 0.1673
Ag: 0.6667 0.3333 0.8327
Au: 0.0000 0.0000 0.5000
Br: 0.0000 0.5000 0.0000
Br: 0.1652 0.3305 0.3375
Br: 0.1652 0.8348 0.3375
Br: 0.3305 0.1652 0.6625
Br: 0.5000 0.0000 0.0000
Br: 0.5000 0.5000 0.0000
Br: 0.6695 0.8348 0.3375
Br: 0.8348 0.1652 0.6625
Br: 0.8348 0.6695 0.6625

(5)
Rb4Ag3AuBr12 | PBE | optimized geometry

For the magnetization, the calculation gives 0.0 μB per formula unit. The formation energy from raw total energies comes out at -0.8529 eV/atom. Its total energy is -52.8 eV/cell. As for the density of states at the Fermi level: 7.987 states/eV per cell.

Cell: 9.4345 9.4345 9.4345 Å, 109.47 109.47 109.47°
Sites, in units of the cell vectors:
Rb: 0.0000 0.0000 0.5000
Rb: 0.0000 0.5000 0.0000
Rb: 0.5000 0.0000 0.0000
Rb: 0.5000 0.5000 0.5000
Ag: 0.0000 0.5000 0.5000
Ag: 0.5000 0.0000 0.5000
Ag: 0.5000 0.5000 0.0000
Au: 0.0000 0.0000 0.0000
Br: 0.0000 0.2439 0.2439
Br: 0.0000 0.7561 0.7561
Br: 0.2439 0.0000 0.2439
Br: 0.2439 0.2439 0.0000
Br: 0.2500 0.5000 0.7500
Br: 0.2500 0.7500 0.5000
Br: 0.5000 0.2500 0.7500
Br: 0.5000 0.7500 0.2500
Br: 0.7500 0.2500 0.5000
Br: 0.7500 0.5000 0.2500
Br: 0.7561 0.0000 0.7561
Br: 0.7561 0.7561 0.0000

(6)
ReAg2AuBr | PBE | optimized geometry

For the magnetization, the calculation gives 1.5 μB per formula unit. The formation energy from raw total energies comes out at 1.3920 eV/atom. Its total energy is -16.1 eV/cell. As for the density of states at the Fermi level: 6.326 states/eV per cell.

Cell: 5.2496 5.2496 4.9568 Å, 90.00 90.00 90.00°
Sites, in units of the cell vectors:
Re: 0.0000 0.0000 0.0000
Ag: 0.0000 0.5000 0.0000
Ag: 0.5000 0.0000 0.0000
Au: 0.0000 0.0000 0.5000
Br: 0.5000 0.5000 0.5000

(7)
AgAuSeBr2 | PBE | optimized geometry

For the relative energy among the computed polymorphs, the calculation gives 0 meV/atom. For the magnetization, the calculation gives 0.7 μB per formula unit. The formation energy from raw total energies comes out at 0.3309 eV/atom. Its total energy is -11.3 eV/cell. As for the density of states at the Fermi level: 5.057 states/eV per cell.

Cell: 5.2816 5.2816 5.1983 Å, 90.00 90.00 90.00°
Sites, in units of the cell vectors:
Ag: 0.0000 0.0000 0.0000
Au: 0.5000 0.5000 0.5000
Se: 0.5000 0.5000 0.0000
Br: 0.0000 0.5000 0.5000
Br: 0.5000 0.0000 0.5000

(8)
AgSnAu2Br | PBE | optimized geometry

For the magnetization, the calculation gives 0.0 μB per formula unit. The formation energy from raw total energies comes out at 0.4512 eV/atom. Its total energy is -12.8 eV/cell. As for the density of states at the Fermi level: 2.183 states/eV per cell.

Cell: 5.1534 5.1534 5.4459 Å, 90.00 90.00 90.00°
Sites, in units of the cell vectors:
Ag: 0.0000 0.0000 0.0000
Sn: 0.0000 0.0000 0.5000
Au: 0.0000 0.5000 0.0000
Au: 0.5000 0.0000 0.0000
Br: 0.5000 0.5000 0.5000